A plane-wave DFT calculation with PBE was carried out for a geometry-optimized NaSiIrO5 structure.

For the raw formation energy, the calculation gives -1.674 eV per atom.

The structure belongs to space group C2/c (No. 15); the cell edges are 6.6837, 8.7743 and 7.1580 Å and the angles 90.00°, 115.78° and 90.00°. Symmetry generates all atoms from Na at (0.0000, 0.1643, 0.2500), Si at (0.0000, 0.1883, 0.7500), Ir at (0.0000, 0.5000, 0.0000), O at (0.0000, 0.4278, 0.2500), O at (0.1067, 0.2918, 0.6234) and O at (0.1881, 0.0702, 0.9104).



A plane-wave DFT calculation with PBE was carried out for a geometry-optimized BaLiTmCd structure.

The formation energy comes out at 0.01 eV per atom.

The structure belongs to space group F-43m (No. 216); the cell edges are 7.9579, 7.9579 and 7.9579 Å and the angles 90.00°, 90.00° and 90.00°. Symmetry generates all atoms from Ba at (0.0000, 0.0000, 0.0000), Li at (0.2500, 0.2500, 0.2500), Tm at (0.0000, 0.0000, 0.5000) and Cd at (0.2500, 0.2500, 0.7500).



A plane-wave DFT calculation with PBE was carried out for a geometry-optimized AgTeCCl2 structure.

For the raw formation energy, the calculation gives 0.907 eV per atom.

The structure belongs to space group P4/mmm (No. 123); the cell edges are 4.4097, 4.4097 and 5.0814 Å and the angles 90.00°, 90.00° and 90.00°. Symmetry generates all atoms from Ag at (0.0000, 0.0000, 0.0000), Te at (0.5000, 0.5000, 0.0000), C at (0.5000, 0.5000, 0.5000) and Cl at (0.0000, 0.5000, 0.5000).



Copy entry 2 word for word.
A plane-wave DFT calculation with PBE was carried out for a geometry-optimized BaLiTmCd structure.

The formation energy comes out at 0.01 eV per atom.

The structure belongs to space group F-43m (No. 216); the cell edges are 7.9579, 7.9579 and 7.9579 Å and the angles 90.00°, 90.00° and 90.00°. Symmetry generates all atoms from Ba at (0.0000, 0.0000, 0.0000), Li at (0.2500, 0.2500, 0.2500), Tm at (0.0000, 0.0000, 0.5000) and Cd at (0.2500, 0.2500, 0.7500).